No. 1
Density functional theory data (PBE) for an optimized crystal structure of CoCu2P.

Lattice parameters (Å, degrees): 4.354 4.354 4.354 131.37 131.37 71.23
Fractional positions:
Co (0.000, 0.000, 0.000)
Cu (0.250, 0.750, 0.500)
Cu (0.500, 0.500, 0.000)
P (0.750, 0.250, 0.500)

Output
- energy of formation from the pure elements (eV per atom) = 0.04
- V (Å³ per cell) = 46
- crystal system = tetragonal
- E (eV per atom) = -5.14
- total magnetic moment (μB/atom) = 0.142

No. 2
Density functional theory data (PBE) for an optimized crystal structure of Co2CuP.

Lattice parameters (Å, degrees): 7.573 7.573 7.573 20.17 20.17 20.17
Fractional positions:
Co (0.240, 0.240, 0.240)
Co (0.760, 0.760, 0.760)
Cu (0.000, 0.000, 0.000)
P (0.500, 0.500, 0.500)

Output
- energy of formation from the pure elements (eV per atom) = -0.04
- V (Å³ per cell) = 45
- crystal system = trigonal
- distance to the lowest polymorph of the same formula (meV/atom) = 97
- E (eV per atom) = -5.97
- total magnetic moment (μB/atom) = 0.285

No. 3
Density functional theory data (PBE) for an optimized crystal structure of CoCu2P.

Lattice parameters (Å, degrees): 3.412 5.322 5.322 29.26 90.00 90.00
Fractional positions:
Co (0.000, 0.000, 0.000)
Cu (0.000, 0.272, 0.272)
Cu (0.500, 0.651, 0.651)
P (0.500, 0.427, 0.427)

Output
- energy of formation from the pure elements (eV per atom) = -0.07
- V (Å³ per cell) = 47
- crystal system = orthorhombic
- E (eV per atom) = -5.24
- total magnetic moment (μB/atom) = 0.061

No. 4
Density functional theory data (PBE) for an optimized crystal structure of CoCu2P.

Lattice parameters (Å, degrees): 3.470 3.470 3.820 90.00 90.00 90.00
Fractional positions:
Co (0.000, 0.000, 0.000)
Cu (0.000, 0.500, 0.500)
Cu (0.500, 0.000, 0.500)
P (0.500, 0.500, 0.000)

Output
- energy of formation from the pure elements (eV per atom) = 0.02
- V (Å³ per cell) = 46
- crystal system = tetragonal
- E (eV per atom) = -5.15
- total magnetic moment (μB/atom) = 0.288